VASP calculation (PBE-GGA) on a relaxed structure of Nd12Re3N5.

Cell: 13.652 13.652 13.652 Å, 109.47 109.47 109.47°
Atoms (fractional coordinates):
Re 0.875 0.750 0.125
Nd 0.081 0.901 0.375
Nd 0.474 0.795 0.875
Nd 0.901 0.081 0.875
Re 0.375 0.625 0.250
Nd 0.099 0.179 0.474
N 0.000 0.500 0.000
N 0.500 0.500 0.500
Nd 0.205 0.679 0.081
Nd 0.679 0.205 0.581
Nd 0.901 0.821 0.526
Nd 0.179 0.081 0.705
Nd 0.875 0.581 0.901
Nd 0.974 0.375 0.295
N 0.625 0.750 0.875
Nd 0.581 0.875 0.401
Re 0.250 0.625 0.875
Nd 0.919 0.821 0.795
Nd 0.375 0.401 0.081
Nd 0.295 0.419 0.821
Nd 0.625 0.026 0.205
Nd 0.026 0.401 0.821
Nd 0.795 0.321 0.919
Re 0.625 0.250 0.375
Nd 0.401 0.375 0.581
N 0.125 0.375 0.250
Re 0.375 0.750 0.625
N 0.875 0.250 0.625
N 0.750 0.625 0.375
Re 0.250 0.125 0.375
Re 0.875 0.125 0.250
Nd 0.026 0.625 0.705
Nd 0.821 0.901 0.026
Nd 0.099 0.919 0.125
N 0.375 0.125 0.750
N 0.000 0.000 0.000
Nd 0.321 0.795 0.419
Nd 0.821 0.919 0.295
N 0.250 0.875 0.125
Nd 0.419 0.295 0.321
Nd 0.295 0.875 0.974
Nd 0.679 0.474 0.599
Nd 0.125 0.419 0.099
Nd 0.599 0.625 0.419
Nd 0.705 0.125 0.026
N 0.500 0.500 0.000
Re 0.125 0.875 0.750
Nd 0.205 0.526 0.625
Nd 0.919 0.099 0.625
Nd 0.375 0.974 0.795
Nd 0.625 0.599 0.919
Nd 0.795 0.474 0.375
Nd 0.125 0.705 0.526
N 0.625 0.875 0.250
N 0.500 0.000 0.500
N 0.375 0.250 0.125
N 0.750 0.125 0.875
Nd 0.705 0.581 0.179
Nd 0.081 0.179 0.205
Nd 0.974 0.599 0.179
Re 0.125 0.250 0.875
Nd 0.875 0.295 0.474
N 0.125 0.750 0.375
Nd 0.599 0.974 0.679
N 0.000 0.000 0.500
Nd 0.321 0.526 0.401
N 0.875 0.625 0.750
Nd 0.419 0.125 0.599
Nd 0.179 0.099 0.974
Nd 0.474 0.679 0.099
Nd 0.581 0.705 0.679
Re 0.750 0.875 0.625
Nd 0.526 0.321 0.901
Re 0.625 0.375 0.750
N 0.250 0.375 0.625
N 0.500 0.000 0.000
Nd 0.401 0.026 0.321
Nd 0.526 0.205 0.125
N 0.000 0.500 0.500
Re 0.750 0.375 0.125

Output
* space-group type: Ia-3d
* density: 8.0 g/cm³
* Fermi-level density of states: 35.86 states/eV/cell
* ΔE_f (raw): -0.4274 eV per atom
* total DFT energy (no corrections): -7.237 eV per atom



VASP calculation (PBE-GGA) on a relaxed structure of AgMoBr2.

Cell: 3.197 3.197 10.238 Å, 90.00 90.00 119.67°
Atoms (fractional coordinates):
Mo 0.000 0.000 0.505
Br 0.500 0.500 0.312
Br 0.000 0.000 0.952
Ag 0.500 0.500 0.731

Output
* space-group type: Cmm2
* density: 6.6 g/cm³
* excess energy over the best structure of this formula in the dataset: 26.9 kJ per mole of atoms
* Fermi-level density of states: 3.70 states/eV/cell
* ΔE_f (raw): 0.4232 eV per atom
* total DFT energy (no corrections): -3.834 eV per atom



Result set for magnetic moment: 0.0, 0.6 μB per cell, one per record in the order listed.